This record from OQMD via LeMat-Bulk describes an optimized crystal structure of ZnGa. The functional is PBE-GGA.

As for the total energy: -0.0708 Ha/atom. For the calculated volume, the calculation gives 21.910 Å³/atom.

It has space group P6_3/mmc (No. 194), with a = 4.4099 Å, b = 4.4099 Å, c = 5.2037 Å, α = 90.00°, β = 90.00° and γ = 120.00°. Symmetry generates all atoms from Zn at (0.3333, 0.6667, 0.2500) and Ga at (0.3333, 0.6667, 0.7500).


This record from OQMD via LeMat-Bulk describes an optimized crystal structure of ZnGa. The functional is PBE-GGA.

As for the total energy: -0.0765 Ha/atom. For the calculated volume, the calculation gives 16.755 Å³/atom.

It has space group Pmm2 (No. 25), with a = 4.827 Å, b = 5.734 Å, c = 4.842 Å, α = 90.00°, β = 90.00° and γ = 90.00°. Symmetry generates all atoms from Zn at (0.000, 0.000, 0.000), Zn at (0.000, 0.241, 0.511), Zn at (0.500, 0.000, 0.680), Ga at (0.000, 0.500, 0.014), Ga at (0.500, 0.244, 0.178) and Ga at (0.500, 0.500, 0.670).


This record from OQMD via LeMat-Bulk describes an optimized crystal structure of ZnGa4. The functional is PBE-GGA.

For the calculated volume, the calculation gives 18.328 Å³/atom. For the energy above the most stable polymorph in this dataset, the calculation gives 0.0 meV per atom.

It has space group P-42_1c (No. 114), with a = 5.408 Å, b = 5.408 Å, c = 6.267 Å, α = 90.00°, β = 90.00° and γ = 90.00°. Symmetry generates all atoms from Zn at (0.000, 0.000, 0.000) and Ga at (0.091, 0.265, 0.651).